Material: Cs2FePF6
Method: DFT, PBE with a Hubbard U
State: relaxed

Properties
As for the density of states at the Fermi level: 5.04 states/eV/f.u. The calculation puts the total DFT energy (no corrections) at -4.569 eV/atom. The space-group type is No. 139.

Structure (POSCAR):
```
Cs2FePF6
1.0
-2.8849 2.8849 5.7286
2.8849 -2.8849 5.7286
2.8849 2.8849 -5.7286
Cs Fe P F
2 1 1 6
direct
0.2500 0.7500 0.5000
0.7500 0.2500 0.5000
0.0000 0.0000 0.0000
0.5000 0.5000 0.0000
0.1703 0.1703 0.0000
0.2495 0.2495 0.4990
0.2495 0.7505 0.0000
0.7505 0.2495 0.0000
0.7505 0.7505 0.5010
0.8297 0.8297 0.0000
```